[1]
First-principles (PBE) data for a geometry-optimized Si2RhPb structure, as listed in Alexandria via LeMat-Bulk.

```
Si2RhPb
1.0
-0.333 3.508 -4.519
-3.485 -4.472 0.837
-3.631 1.114 -0.477
Rh Pb Si
1 1 2
direct
0.000 0.500 0.500 Rh
0.500 0.000 0.500 Pb
0.500 0.500 0.000 Si
0.000 0.000 0.000 Si
```

Properties
E_tot (eV per atom): -5.099
Space group: Fmmm, No. 69
Raw formation energy (eV/atom): 0.378

---

[2]
First-principles (PBE) data for a geometry-optimized Si2RhPb structure, as listed in Alexandria via LeMat-Bulk.

```
Si2RhPb
1.0
4.181 0.000 0.000
0.000 4.594 -0.202
0.000 0.954 4.229
Si Rh Pb
2 1 1
direct
0.000 0.990 0.829 Si
0.000 0.510 0.671 Si
0.500 0.750 0.750 Rh
0.500 0.250 0.250 Pb
```

Properties
E_tot (eV per atom): -5.459
Space group: P2/m, No. 10
Raw formation energy (eV/atom): 0.018

---

[3]
First-principles (PBE) data for a geometry-optimized Si2RhPb structure, as listed in Alexandria via LeMat-Bulk.

```
Si2RhPb
1.0
3.586 0.000 0.000
0.000 3.593 0.124
0.000 1.524 6.056
Si Pb Rh
2 1 1
direct
0.000 0.782 0.072 Si
0.500 0.276 0.080 Si
0.000 0.533 0.545 Pb
0.500 0.909 0.803 Rh
```

Properties
E_tot (eV per atom): -5.496
Space group: Pm, No. 6
Raw formation energy (eV/atom): -0.020